{"formula": "Nd3SmSc", "functional": "PBE-GGA", "state": "relaxed", "e_form_kj_per_mol_atoms": 9, "spacegroup": "C2/c", "cell": [[10.071, -4.947, 0.000], [10.071, 4.947, 0.000], [-0.458, 0.000, 6.649]], "species": ["Nd", "Nd", "Nd", "Nd", "Nd", "Nd", "Nd", "Nd", "Nd", "Nd", "Nd", "Nd", "Sm", "Sm", "Sm", "Sm", "Sc", "Sc", "Sc", "Sc"], "frac_coords": [[0.015, 0.136, 0.392], [0.088, 0.585, 0.929], [0.136, 0.015, 0.892], [0.243, 0.456, 0.419], [0.415, 0.912, 0.571], [0.456, 0.243, 0.919], [0.544, 0.757, 0.081], [0.585, 0.088, 0.429], [0.757, 0.544, 0.581], [0.864, 0.985, 0.108], [0.912, 0.415, 0.071], [0.985, 0.864, 0.608], [0.252, 0.748, 0.250], [0.402, 0.598, 0.750], [0.598, 0.402, 0.250], [0.748, 0.252, 0.750], [0.155, 0.277, 0.683], [0.277, 0.155, 0.183], [0.723, 0.845, 0.817], [0.845, 0.723, 0.317]]}

***

{"formula": "SmAl2", "functional": "PBE-GGA", "state": "relaxed", "e_form_kj_per_mol_atoms": -50, "spacegroup": "Fd-3m", "cell": [[0.000, 3.989, 3.989], [3.989, 0.000, 3.989], [3.989, 3.989, 0.000]], "species": ["Sm", "Sm", "Al", "Al", "Al", "Al"], "frac_coords": [[0.125, 0.125, 0.125], [0.875, 0.875, 0.875], [0.000, 0.500, 0.500], [0.500, 0.000, 0.500], [0.500, 0.500, 0.000], [0.500, 0.500, 0.500]]}

***

{"formula": "CrPbCl2", "functional": "PBE-GGA", "state": "relaxed", "raw_formation_energy_ev_per_atom": -0.190, "spacegroup": "P2/m", "cell": [[4.526, 0.000, 0.000], [0.000, 3.488, 0.000], [-0.021, 0.000, 6.076]], "species": ["Cr", "Pb", "Cl", "Cl"], "frac_coords": [[0.000, 0.000, 0.000], [0.000, 0.500, 0.500], [0.500, 0.000, 0.500], [0.500, 0.500, 0.000]]}

***

{"formula": "ZrNiPt2Au", "functional": "PBE-GGA", "state": "relaxed", "e_form_kj_per_mol_atoms": 37, "spacegroup": "P4/mmm", "cell": [[4.591, 0.000, 0.000], [0.000, 4.591, 0.000], [0.000, 0.000, 4.607]], "species": ["Zr", "Ni", "Pt", "Pt", "Au"], "frac_coords": [[0.000, 0.000, 0.000], [0.500, 0.500, 0.500], [0.000, 0.500, 0.500], [0.500, 0.000, 0.500], [0.500, 0.500, 0.000]]}

***

{"formula": "LiH2Pb", "functional": "PBE-GGA", "state": "relaxed", "dft_energy_ev_per_cell": -24.570, "spacegroup": "P1", "cell": [[3.157, 0.000, 0.000], [0.010, 5.340, 0.000], [1.248, 0.410, 7.640]], "species": ["Li", "Li", "H", "H", "H", "H", "Pb", "Pb"], "frac_coords": [[0.000, 0.000, 0.000], [0.432, 0.487, 0.149], [0.490, 0.778, 0.020], [0.512, 0.254, 0.986], [0.868, 0.505, 0.309], [0.883, 0.643, 0.267], [0.275, 0.055, 0.490], [0.638, 0.514, 0.743]]}

***

{"formula": "MgPtW2", "functional": "PBE-GGA", "state": "relaxed", "e_form_kj_per_mol_atoms": 12, "spacegroup": "Cmmm", "cell": [[2.648, -4.465, 0.000], [2.648, 4.465, 0.000], [0.000, 0.000, 2.722]], "species": ["Mg", "Pt", "W", "W"], "frac_coords": [[0.000, 0.000, 0.000], [0.500, 0.500, 0.000], [0.000, 0.500, 0.500], [0.500, 0.000, 0.500]]}

***

{"formula": "LiTbLuRu", "functional": "PBE-GGA", "state": "relaxed", "e_form_kj_per_mol_atoms": -30, "spacegroup": "F-43m", "cell": [[0.000, 3.443, 3.443], [3.443, 0.000, 3.443], [3.443, 3.443, 0.000]], "species": ["Li", "Tb", "Lu", "Ru"], "frac_coords": [[0.000, 0.000, 0.000], [0.250, 0.250, 0.250], [0.750, 0.750, 0.750], [0.500, 0.500, 0.500]]}

***

{"formula": "Pr2Be2PdO6", "functional": "PBE-GGA", "state": "relaxed", "raw_formation_energy_ev_per_atom": -2.263, "spacegroup": "R-3m", "cell": [[2.649, 1.529, 5.667], [-2.649, 1.529, 5.667], [0.000, -3.059, 5.667]], "species": ["Pr", "Pr", "Be", "Be", "Pd", "O", "O", "O", "O", "O", "O"], "frac_coords": [[0.212, 0.212, 0.212], [0.788, 0.788, 0.788], [0.426, 0.426, 0.426], [0.574, 0.574, 0.574], [0.000, 0.000, 0.000], [0.237, 0.737, 0.737], [0.263, 0.263, 0.763], [0.263, 0.763, 0.263], [0.737, 0.237, 0.737], [0.737, 0.737, 0.237], [0.763, 0.263, 0.263]]}

***

{"formula": "AgOsW2", "functional": "PBE-GGA", "state": "relaxed", "e_form_kj_per_mol_atoms": 45, "spacegroup": "P4mm", "cell": [[2.788, 0.000, 0.000], [0.000, 2.788, 0.000], [0.000, 0.000, 8.340]], "species": ["Ag", "Os", "W", "W"], "frac_coords": [[0.000, 0.000, 0.000], [0.500, 0.500, 0.263], [0.000, 0.000, 0.478], [0.500, 0.500, 0.736]]}

***

{"formula": "AcPO4", "functional": "PBE-GGA", "state": "relaxed", "raw_formation_energy_ev_per_atom": -3.051, "spacegroup": "Cmcm", "cell": [[3.702, -3.318, 0.000], [3.702, 3.318, 0.000], [0.000, 0.000, 7.537]], "species": ["Ac", "Ac", "P", "P", "O", "O", "O", "O", "O", "O", "O", "O"], "frac_coords": [[0.159, 0.841, 0.750], [0.841, 0.159, 0.250], [0.339, 0.661, 0.250], [0.661, 0.339, 0.750], [0.197, 0.803, 0.086], [0.197, 0.803, 0.414], [0.310, 0.353, 0.250], [0.353, 0.310, 0.750], [0.647, 0.690, 0.250], [0.690, 0.647, 0.750], [0.803, 0.197, 0.586], [0.803, 0.197, 0.914]]}

***

{"formula": "AsSe2", "functional": "PBE-GGA", "state": "relaxed", "raw_formation_energy_ev_per_atom": 0.118, "spacegroup": "Pnnm", "cell": [[6.125, 0.000, 0.000], [0.000, 6.178, 0.000], [0.000, 0.000, 3.804]], "species": ["As", "As", "Se", "Se", "Se", "Se"], "frac_coords": [[0.000, 0.000, 0.000], [0.500, 0.500, 0.500], [0.095, 0.300, 0.500], [0.405, 0.800, 0.000], [0.595, 0.200, 0.000], [0.905, 0.700, 0.500]]}

***

{"formula": "KAgCl3", "functional": "PBE-GGA", "state": "relaxed", "raw_formation_energy_ev_per_atom": -0.810, "spacegroup": "P6_3/mmc", "cell": [[5.267, 0.000, 0.000], [-2.634, 4.562, 0.000], [0.000, 0.000, 10.401]], "species": ["K", "K", "Ag", "Ag", "Cl", "Cl", "Cl", "Cl", "Cl", "Cl"], "frac_coords": [[0.333, 0.667, 0.250], [0.667, 0.333, 0.750], [0.000, 0.000, 0.000], [0.000, 0.000, 0.500], [0.000, 0.000, 0.250], [0.000, 0.000, 0.750], [0.333, 0.667, 0.545], [0.333, 0.667, 0.955], [0.667, 0.333, 0.045], [0.667, 0.333, 0.455]]}

***

Copy entry 6 word for word.
{"formula": "MgPtW2", "functional": "PBE-GGA", "state": "relaxed", "e_form_kj_per_mol_atoms": 12, "spacegroup": "Cmmm", "cell": [[2.648, -4.465, 0.000], [2.648, 4.465, 0.000], [0.000, 0.000, 2.722]], "species": ["Mg", "Pt", "W", "W"], "frac_coords": [[0.000, 0.000, 0.000], [0.500, 0.500, 0.000], [0.000, 0.500, 0.500], [0.500, 0.000, 0.500]]}